Entry 1:
# La6ErTm

La6ErTm after structural relaxation (PBE-GGA, Alexandria).

Properties
Its formation enthalpy at 0 K is 0.01 eV per atom. The value obtained for the magnetization is 0.0 μB/cell.

a b c (Å): 5.1877 5.1877 10.3774
angles (deg): 90.00 90.00 90.00
Closest atoms and distances in Å follow each position.
Positions (direct):
La 0.5000 0.5000 0.0000  4 Er 3.67, 8 La 3.67
La 0.5000 0.5000 0.5000  8 La 3.67, 4 Tm 3.67
La 0.5000 0.0000 0.2502  2 Tm 3.67, 8 La 3.67, 2 Er 3.67
La 0.5000 0.0000 0.7498  2 Tm 3.67, 8 La 3.67, 2 Er 3.67
La 0.0000 0.5000 0.2502  8 La 3.67, 2 Tm 3.67, 2 Er 3.67
La 0.0000 0.5000 0.7498  2 Tm 3.67, 8 La 3.67, 2 Er 3.67
Er 0.0000 0.0000 0.0000  12 La 3.67
Tm 0.0000 0.0000 0.5000  12 La 3.67

Entry 2:
# LaErTm5

LaErTm5 after structural relaxation (PBE-GGA, Alexandria).

Properties
Its formation enthalpy at 0 K is 0.18 eV per atom. The value obtained for the magnetization is 0.0 μB/cell.

a b c (Å): 7.0368 8.7771 8.7771
angles (deg): 80.60 66.34 66.34
Closest atoms and distances in Å follow each position.
Positions (direct):
La 0.0000 0.0000 0.0000  2 La 3.52, 6 Tm 3.71-3.73, 2 Er 3.73
La 0.5000 0.0000 0.0000  2 La 3.52, 6 Tm 3.71-3.73, 2 Er 3.73
Er 0.7500 0.2901 0.7099  8 Tm 3.37-3.52, 2 La 3.73
Er 0.2500 0.7099 0.2901  8 Tm 3.37-3.52, 2 La 3.73
Tm 0.4629 0.2869 0.2873  7 Tm 3.36-3.52, 1 Er 3.40, 2 La 3.71
Tm 0.7498 0.5000 0.0000  8 Tm 3.36-3.52, 2 Er 3.37-3.38
Tm 0.9629 0.2873 0.2869  7 Tm 3.36-3.52, 1 Er 3.40, 2 La 3.71
Tm 0.7500 0.7105 0.2895  6 Tm 3.38-3.40, 2 Er 3.52, 2 La 3.73
Tm 0.7502 0.0000 0.5000  8 Tm 3.36-3.52, 2 Er 3.37-3.38
Tm 0.2498 0.0000 0.5000  8 Tm 3.36-3.52, 2 Er 3.37-3.38
Tm 0.2500 0.2895 0.7105  6 Tm 3.38-3.40, 2 Er 3.52, 2 La 3.73
Tm 0.0371 0.7127 0.7131  7 Tm 3.36-3.52, 1 Er 3.40, 2 La 3.71
Tm 0.2502 0.5000 0.0000  8 Tm 3.36-3.52, 2 Er 3.37-3.38
Tm 0.5371 0.7131 0.7127  7 Tm 3.36-3.52, 1 Er 3.40, 2 La 3.71

Among the records above, which one has the highest formation enthalpy at 0 K? LaErTm5

formation enthalpy at 0 K of number 2 (LaErTm5)? 0.18 eV per atom

Look up the formation enthalpy at 0 K of the first one. 0.01 eV per atom